1.
VASP calculation (PBE-GGA) on BaGdCd4 after structural relaxation.

The structure belongs to space group F-43m (No. 216); the cell edges are 8.724, 8.724 and 8.724 Å and the angles 90.00°, 90.00° and 90.00°. The inequivalent atoms are Ba at (0.000, 0.000, 0.000), Gd at (0.250, 0.250, 0.750) and Cd at (0.124, 0.124, 0.376).

The calculated total energy comes out at -3.51 eV/atom. For the energy of formation, the calculation gives -230 meV per atom. As for the calculated density: 7.45 g cm⁻³. For the total magnetic moment, the calculation gives 30.3 μB per cell.

***

2.
VASP calculation (PBE-GGA) on BaGdCdHg after structural relaxation.

The structure belongs to space group F-43m (No. 216); the cell edges are 7.998, 7.998 and 7.998 Å and the angles 90.00°, 90.00° and 90.00°. The inequivalent atoms are Ba at (0.000, 0.000, 0.000), Gd at (0.000, 0.000, 0.500), Cd at (0.250, 0.250, 0.250) and Hg at (0.250, 0.250, 0.750).

The calculated total energy comes out at -4.60 eV/atom. For the energy of formation, the calculation gives -300 meV per atom. As for the calculated density: 7.89 g cm⁻³. For the total magnetic moment, the calculation gives 27.9 μB per cell.

***

3.
VASP calculation (PBE-GGA) on BaGdCdIn after structural relaxation.

The structure belongs to space group F-43m (No. 216); the cell edges are 8.067, 8.067 and 8.067 Å and the angles 90.00°, 90.00° and 90.00°. The inequivalent atoms are Ba at (0.000, 0.000, 0.000), Gd at (0.000, 0.000, 0.500), Cd at (0.250, 0.250, 0.250) and In at (0.250, 0.250, 0.750).

The calculated total energy comes out at -5.20 eV/atom. For the energy of formation, the calculation gives -282 meV per atom. As for the calculated density: 6.60 g cm⁻³. For the total magnetic moment, the calculation gives 29.4 μB per cell.

***

4.
VASP calculation (PBE-GGA) on BaLiGdCd after structural relaxation.

The structure belongs to space group F-43m (No. 216); the cell edges are 8.053, 8.053 and 8.053 Å and the angles 90.00°, 90.00° and 90.00°. The inequivalent atoms are Ba at (0.000, 0.000, 0.000), Li at (0.250, 0.250, 0.750), Gd at (0.000, 0.000, 0.500) and Cd at (0.250, 0.250, 0.250).

The calculated total energy comes out at -4.73 eV/atom. For the energy of formation, the calculation gives -27 meV per atom. As for the calculated density: 5.26 g cm⁻³. For the total magnetic moment, the calculation gives 30.1 μB per cell.

***

5.
VASP calculation (PBE-GGA) on BaGdMgCd after structural relaxation.

The structure belongs to space group F-43m (No. 216); the cell edges are 8.081, 8.081 and 8.081 Å and the angles 90.00°, 90.00° and 90.00°. The inequivalent atoms are Ba at (0.000, 0.000, 0.000), Gd at (0.000, 0.000, 0.500), Mg at (0.250, 0.250, 0.250) and Cd at (0.250, 0.250, 0.750).

The calculated total energy comes out at -4.71 eV/atom. For the energy of formation, the calculation gives -86 meV per atom. As for the calculated density: 5.43 g cm⁻³. For the total magnetic moment, the calculation gives 28.9 μB per cell.

***

6.
VASP calculation (PBE-GGA) on BaGdTlCd after structural relaxation.

The structure belongs to space group F-43m (No. 216); the cell edges are 8.097, 8.097 and 8.097 Å and the angles 90.00°, 90.00° and 90.00°. The inequivalent atoms are Ba at (0.000, 0.000, 0.000), Gd at (0.000, 0.000, 0.500), Tl at (0.250, 0.250, 0.250) and Cd at (0.250, 0.250, 0.750).

The calculated total energy comes out at -5.08 eV/atom. For the energy of formation, the calculation gives -261 meV per atom. As for the calculated density: 7.65 g cm⁻³. For the total magnetic moment, the calculation gives 29.2 μB per cell.

***

7.
VASP calculation (PBE-GGA) on BaCdGe after structural relaxation.

The structure belongs to space group Pma2 (No. 28); the cell edges are 4.592, 8.406 and 4.979 Å and the angles 90.00°, 90.00° and 90.00°. The inequivalent atoms are Ba at (0.250, 0.219, 0.000), Cd at (0.250, 0.596, 0.500) and Ge at (0.250, 0.922, 0.500).

The calculated total energy comes out at -2.88 eV/atom. For the energy of formation, the calculation gives -391 meV per atom. As for the calculated density: 5.57 g cm⁻³. For the total magnetic moment, the calculation gives 0.0 μB per cell.

***

8.
VASP calculation (PBE-GGA) on Ba2CdGe2 after structural relaxation.

The structure belongs to space group P4/mbm (No. 127); the cell edges are 8.517, 8.517 and 4.636 Å and the angles 90.00°, 90.00° and 90.00°. The inequivalent atoms are Ba at (0.191, 0.309, 0.000), Cd at (0.000, 0.000, 0.500) and Ge at (0.101, 0.601, 0.500).

The calculated total energy comes out at -3.20 eV/atom. For the energy of formation, the calculation gives -406 meV per atom. As for the calculated density: 5.26 g cm⁻³. For the total magnetic moment, the calculation gives 0.0 μB per cell. The value obtained for the excess energy over the best structure of this formula in the dataset is 90.7 meV/atom.